Ni2OsRu | PBE-GGA | optimized geometry

a b c (Å): 4.5242 4.5242 4.5242
angles (deg): 131.89 131.89 70.40
Element x y z (fractional)
1 Ni 0.2500 0.7500 0.5000
2 Ni 0.7500 0.2500 0.5000
3 Os 0.0000 0.0000 0.0000
4 Ru 0.5000 0.5000 0.0000

Ni3OsRu | PBE-GGA | optimized geometry

a b c (Å): 4.4280 4.4280 4.4280
angles (deg): 90.00 90.00 90.00
Element x y z (fractional)
1 Ni 0.0000 0.0000 0.5000
2 Ni 0.0000 0.5000 0.0000
3 Ni 0.5000 0.0000 0.0000
4 Os 0.0000 0.0000 0.0000
5 Ru 0.5000 0.5000 0.5000

The evaluated formation energy for the records listed, in turn: 183 1707 meV per atom.